InHS2 | PBEsol | relaxed

Cell and atoms, written as CIF:
```
data_InHS2
_space_group_name_H-M_alt 'P 1'
_space_group_IT_number 1
_cell_length_a 3.863
_cell_length_b 3.863
_cell_length_c 6.399
_cell_angle_alpha 72.43
_cell_angle_beta 72.43
_cell_angle_gamma 60.00
loop_
_space_group_symop_operation_xyz
'x,y,z'
loop_
_atom_site_label
_atom_site_fract_x
_atom_site_fract_y
_atom_site_fract_z
H1 0.000 0.000 0.000
S1 0.909 0.909 0.272
S2 0.091 0.091 0.728
In1 0.500 0.500 0.500
```

Output
Symmetry: R-3m (166)
Total DFT energy (no corrections): -16.55 eV per formula unit